This record from Alexandria describes TlNiSe2 after structural relaxation. The functional is PBE-GGA.

a = 9.9682 Å, b = 3.6240 Å, c = 7.1913 Å
α = 90.00°, β = 124.11°, γ = 90.00°
Element x y z (fractional)
Tl: 0.0000 0.0000 0.0000
Tl: 0.5000 0.5000 0.0000
Ni: 0.0000 0.0000 0.5000
Ni: 0.5000 0.5000 0.5000
Se: 0.1208 0.5000 0.7401
Se: 0.3792 0.0000 0.2599
Se: 0.6208 0.0000 0.7401
Se: 0.8792 0.5000 0.2599

Output
Uncorrected formation energy = -20.2 kJ per mole of atoms
Calculated volume = 215 Å³ per cell